# 1
Below is an optimized crystal structure of ZrSbOsW2, with properties calculated at the PBEsol level.

abc: 4.7453 4.7453 4.9742
angles: 90.00 90.00 90.00
Sites, in units of the cell vectors:
Sb1 0.0000 0.0000 0.0000
W1 0.0000 0.5000 0.0000
W2 0.5000 0.0000 0.0000
Zr1 0.0000 0.0000 0.5000
Os1 0.5000 0.5000 0.5000

DFT total energy = -40.640 eV per formula unit
Size of the total moment = 0.0001 μB per atom
DOS at the Fermi energy = 1.350 states/eV/atom
Crystal system = tetragonal
Symmetry = P4/mmm (123)
Formation energy without anion corrections = 2568 meV/atom



# 2
Below is an optimized crystal structure of YSbOs2, with properties calculated at the PBEsol level.

abc: 2.9701 5.2441 5.4812
angles: 118.03 104.84 91.78
Sites, in units of the cell vectors:
Sb1 0.5000 0.0000 0.0000
Y1 0.0000 0.5000 0.0000
Os1 0.0000 0.0000 0.5000
Os2 0.5000 0.5000 0.5000

DFT total energy = -34.203 eV per formula unit
Size of the total moment = 0.0000 μB per atom
DOS at the Fermi energy = 0.947 states/eV/atom
Crystal system = monoclinic
Symmetry = C2/m (12)
Formation energy without anion corrections = 402 meV/atom